No. 1
# Cu3Pt | Alexandria | GGA-PBE | optimized geometry
data_Cu3Pt
_chemical_formula_sum 'Cu3 Pt1'
_cell_length_a 5.016
_cell_length_b 5.016
_cell_length_c 5.016
_cell_angle_alpha 148.15
_cell_angle_beta 127.60
_cell_angle_gamma 62.64
_symmetry_space_group_name_H-M 'P 1'
_symmetry_Int_Tables_number 1
_symmetry_space_group_name_Hall 'P 1'
loop_
_atom_site_label
_atom_site_type_symbol
_atom_site_fract_x
_atom_site_fract_y
_atom_site_fract_z
Pt1 Pt 0.598 0.250 0.348
Cu1 Cu 0.096 0.750 0.346
Cu2 Cu 0.990 0.004 0.986
Cu3 Cu 0.483 0.496 0.986
# Energy relative to the elements = -0.11 eV per atom

***

No. 2
# PrY6Tm12 | Alexandria | GGA-PBE | optimized geometry
data_PrY6Tm12
_chemical_formula_sum 'Pr1 Y6 Tm12'
_cell_length_a 9.296
_cell_length_b 9.296
_cell_length_c 9.296
_cell_angle_alpha 108.36
_cell_angle_beta 108.36
_cell_angle_gamma 108.36
_symmetry_space_group_name_H-M 'P 1'
_symmetry_Int_Tables_number 1
_symmetry_space_group_name_Hall 'P 1'
loop_
_atom_site_label
_atom_site_type_symbol
_atom_site_fract_x
_atom_site_fract_y
_atom_site_fract_z
Y1 Y 0.679 0.679 0.252
Y2 Y 0.321 0.748 0.321
Y3 Y 0.321 0.321 0.748
Y4 Y 0.252 0.679 0.679
Y5 Y 0.679 0.252 0.679
Y6 Y 0.748 0.321 0.321
Tm1 Tm 0.109 0.891 0.500
Tm2 Tm 0.500 0.109 0.891
Tm3 Tm 0.500 0.891 0.109
Tm4 Tm 0.153 0.366 0.366
Tm5 Tm 0.891 0.500 0.109
Tm6 Tm 0.366 0.366 0.153
Tm7 Tm 0.366 0.153 0.366
Tm8 Tm 0.634 0.634 0.847
Tm9 Tm 0.634 0.847 0.634
Tm10 Tm 0.891 0.109 0.500
Tm11 Tm 0.109 0.500 0.891
Tm12 Tm 0.847 0.634 0.634
Pr1 Pr 0.000 0.000 0.000
# Energy relative to the elements = 0.45 eV per atom
# Relative energy among the computed polymorphs = 255 meV/atom

***

No. 3
# BeRu2Pt | Alexandria | GGA-PBE | optimized geometry
data_BeRu2Pt
_chemical_formula_sum 'Be1 Ru2 Pt1'
_cell_length_a 4.685
_cell_length_b 4.685
_cell_length_c 2.725
_cell_angle_alpha 90.00
_cell_angle_beta 90.00
_cell_angle_gamma 115.01
_symmetry_space_group_name_H-M 'P 1'
_symmetry_Int_Tables_number 1
_symmetry_space_group_name_Hall 'P 1'
loop_
_atom_site_label
_atom_site_type_symbol
_atom_site_fract_x
_atom_site_fract_y
_atom_site_fract_z
Ru1 Ru 0.000 0.000 0.000
Ru2 Ru 0.500 0.500 0.000
Be1 Be 0.500 0.000 0.500
Pt1 Pt 0.000 0.500 0.500
# Energy relative to the elements = 0.09 eV per atom

***

No. 4
# ScCd3N | Alexandria | GGA-PBE | optimized geometry
data_ScCd3N
_chemical_formula_sum 'Sc1 Cd3 N1'
_cell_length_a 4.680
_cell_length_b 4.680
_cell_length_c 4.680
_cell_angle_alpha 90.00
_cell_angle_beta 90.00
_cell_angle_gamma 90.00
_symmetry_space_group_name_H-M 'P 1'
_symmetry_Int_Tables_number 1
_symmetry_space_group_name_Hall 'P 1'
loop_
_atom_site_label
_atom_site_type_symbol
_atom_site_fract_x
_atom_site_fract_y
_atom_site_fract_z
Cd1 Cd 0.000 0.000 0.500
Cd2 Cd 0.000 0.500 0.000
Cd3 Cd 0.500 0.000 0.000
Sc1 Sc 0.500 0.500 0.500
N1 N 0.000 0.000 0.000
# Energy relative to the elements, uncorrected = 0.524 eV/atom

***

No. 5
# Be2BPt8 | Alexandria | GGA-PBE | optimized geometry
data_Be2BPt8
_chemical_formula_sum 'Be2 B1 Pt8'
_cell_length_a 4.124
_cell_length_b 6.404
_cell_length_c 6.438
_cell_angle_alpha 95.24
_cell_angle_beta 90.00
_cell_angle_gamma 108.78
_symmetry_space_group_name_H-M 'P 1'
_symmetry_Int_Tables_number 1
_symmetry_space_group_name_Hall 'P 1'
loop_
_atom_site_label
_atom_site_type_symbol
_atom_site_fract_x
_atom_site_fract_y
_atom_site_fract_z
Pt1 Pt 0.817 0.634 0.428
Pt2 Pt 0.442 0.884 0.315
Pt3 Pt 0.558 0.116 0.685
Pt4 Pt 0.944 0.887 0.810
Pt5 Pt 0.317 0.635 0.932
Pt6 Pt 0.056 0.113 0.190
Pt7 Pt 0.183 0.366 0.572
Pt8 Pt 0.683 0.365 0.068
Be1 Be 0.248 0.496 0.252
Be2 Be 0.752 0.504 0.748
B1 B 0.500 0.000 0.000
# Energy relative to the elements = -0.26 eV per atom
# Relative energy among the computed polymorphs = 55 meV/atom

***

No. 6
# TmTi4Ru5 | Alexandria | GGA-PBE | optimized geometry
data_TmTi4Ru5
_chemical_formula_sum 'Tm1 Ti4 Ru5'
_cell_length_a 3.120
_cell_length_b 3.120
_cell_length_c 15.889
_cell_angle_alpha 90.00
_cell_angle_beta 90.00
_cell_angle_gamma 90.00
_symmetry_space_group_name_H-M 'P 1'
_symmetry_Int_Tables_number 1
_symmetry_space_group_name_Hall 'P 1'
loop_
_atom_site_label
_atom_site_type_symbol
_atom_site_fract_x
_atom_site_fract_y
_atom_site_fract_z
Ru1 Ru 0.500 0.500 0.500
Ru2 Ru 0.500 0.500 0.881
Ru3 Ru 0.500 0.500 0.309
Ru4 Ru 0.500 0.500 0.119
Ru5 Ru 0.500 0.500 0.691
Ti1 Ti 0.000 0.000 0.792
Ti2 Ti 0.000 0.000 0.597
Ti3 Ti 0.000 0.000 0.403
Ti4 Ti 0.000 0.000 0.208
Tm1 Tm 0.000 0.000 0.000
# Energy relative to the elements = -0.69 eV per atom

***

No. 7
# AlGa3Pt | Alexandria | GGA-PBE | optimized geometry
data_AlGa3Pt
_chemical_formula_sum 'Al1 Ga3 Pt1'
_cell_length_a 4.800
_cell_length_b 4.800
_cell_length_c 4.800
_cell_angle_alpha 90.00
_cell_angle_beta 90.00
_cell_angle_gamma 90.00
_symmetry_space_group_name_H-M 'P 1'
_symmetry_Int_Tables_number 1
_symmetry_space_group_name_Hall 'P 1'
loop_
_atom_site_label
_atom_site_type_symbol
_atom_site_fract_x
_atom_site_fract_y
_atom_site_fract_z
Ga1 Ga 0.500 0.000 0.000
Ga2 Ga 0.000 0.500 0.000
Ga3 Ga 0.000 0.000 0.500
Al1 Al 0.000 0.000 0.000
Pt1 Pt 0.500 0.500 0.500
# Energy relative to the elements = 0.58 eV per atom
# Relative energy among the computed polymorphs = 559 meV/atom

***

No. 8
# CsSrF3 | Alexandria | GGA-PBE | optimized geometry
data_CsSrF3
_chemical_formula_sum 'Cs2 Sr2 F6'
_cell_length_a 7.388
_cell_length_b 7.388
_cell_length_c 7.388
_cell_angle_alpha 54.09
_cell_angle_beta 54.09
_cell_angle_gamma 54.09
_symmetry_space_group_name_H-M 'P 1'
_symmetry_Int_Tables_number 1
_symmetry_space_group_name_Hall 'P 1'
loop_
_atom_site_label
_atom_site_type_symbol
_atom_site_fract_x
_atom_site_fract_y
_atom_site_fract_z
F1 F 0.451 0.019 0.821
F2 F 0.981 0.179 0.549
F3 F 0.179 0.549 0.981
F4 F 0.821 0.451 0.019
F5 F 0.019 0.821 0.451
F6 F 0.549 0.981 0.179
Sr1 Sr 0.844 0.844 0.844
Sr2 Sr 0.156 0.156 0.156
Cs1 Cs 0.367 0.367 0.367
Cs2 Cs 0.633 0.633 0.633
# Energy relative to the elements, uncorrected = -3.401 eV/atom
# Relative energy among the computed polymorphs = 32 meV/atom

***

No. 9
# Nb2Mo6W3 | Alexandria | GGA-PBE | optimized geometry
data_Nb2Mo6W3
_chemical_formula_sum 'Nb2 Mo6 W3'
_cell_length_a 4.517
_cell_length_b 2.770
_cell_length_c 14.620
_cell_angle_alpha 97.30
_cell_angle_beta 98.89
_cell_angle_gamma 90.00
_symmetry_space_group_name_H-M 'P 1'
_symmetry_Int_Tables_number 1
_symmetry_space_group_name_Hall 'P 1'
loop_
_atom_site_label
_atom_site_type_symbol
_atom_site_fract_x
_atom_site_fract_y
_atom_site_fract_z
Mo1 Mo 0.093 0.459 0.186
Mo2 Mo 0.273 0.364 0.545
Mo3 Mo 0.638 0.192 0.276
Mo4 Mo 0.727 0.636 0.455
Mo5 Mo 0.362 0.808 0.724
Mo6 Mo 0.907 0.541 0.814
W1 W 0.817 0.088 0.634
W2 W 0.183 0.912 0.366
W3 W 0.000 0.000 0.000
Nb1 Nb 0.453 0.269 0.906
Nb2 Nb 0.547 0.731 0.094
# Energy relative to the elements = -0.06 eV per atom

***

No. 10
# NdEr14Mg | Alexandria | GGA-PBE | optimized geometry
data_NdEr14Mg
_chemical_formula_sum 'Nd1 Er14 Mg1'
_cell_length_a 6.992
_cell_length_b 6.992
_cell_length_c 9.915
_cell_angle_alpha 90.00
_cell_angle_beta 90.00
_cell_angle_gamma 90.00
_symmetry_space_group_name_H-M 'P 1'
_symmetry_Int_Tables_number 1
_symmetry_space_group_name_Hall 'P 1'
loop_
_atom_site_label
_atom_site_type_symbol
_atom_site_fract_x
_atom_site_fract_y
_atom_site_fract_z
Er1 Er 0.376 0.624 0.249
Er2 Er 0.376 0.126 0.751
Er3 Er 0.376 0.624 0.751
Er4 Er 0.125 0.375 0.500
Er5 Er 0.874 0.126 0.751
Er6 Er 0.874 0.624 0.249
Er7 Er 0.625 0.875 0.500
Er8 Er 0.874 0.624 0.751
Er9 Er 0.874 0.126 0.249
Er10 Er 0.125 0.875 0.000
Er11 Er 0.625 0.875 0.000
Er12 Er 0.625 0.375 0.000
Er13 Er 0.125 0.375 0.000
Er14 Er 0.376 0.126 0.249
Nd1 Nd 0.625 0.375 0.500
Mg1 Mg 0.125 0.875 0.500
# Energy relative to the elements = 0.02 eV per atom

***

No. 11
# AlBTeN2 | Alexandria | GGA-PBE | optimized geometry
data_AlBTeN2
_chemical_formula_sum 'Al1 B1 Te1 N2'
_cell_length_a 3.566
_cell_length_b 3.566
_cell_length_c 7.375
_cell_angle_alpha 90.00
_cell_angle_beta 90.00
_cell_angle_gamma 90.00
_symmetry_space_group_name_H-M 'P 1'
_symmetry_Int_Tables_number 1
_symmetry_space_group_name_Hall 'P 1'
loop_
_atom_site_label
_atom_site_type_symbol
_atom_site_fract_x
_atom_site_fract_y
_atom_site_fract_z
Te1 Te 0.000 0.000 0.500
N1 N 0.500 0.000 0.000
N2 N 0.000 0.500 0.000
B1 B 0.500 0.500 0.500
Al1 Al 0.000 0.000 0.000
# Energy relative to the elements, uncorrected = 1.250 eV/atom
# Relative energy among the computed polymorphs = 0 meV/atom

***

No. 12
# SrBeCu3 | Alexandria | GGA-PBE | optimized geometry
data_SrBeCu3
_chemical_formula_sum 'Sr1 Be1 Cu3'
_cell_length_a 5.374
_cell_length_b 5.374
_cell_length_c 5.374
_cell_angle_alpha 90.00
_cell_angle_beta 90.00
_cell_angle_gamma 90.00
_symmetry_space_group_name_H-M 'P 1'
_symmetry_Int_Tables_number 1
_symmetry_space_group_name_Hall 'P 1'
loop_
_atom_site_label
_atom_site_type_symbol
_atom_site_fract_x
_atom_site_fract_y
_atom_site_fract_z
Cu1 Cu 0.000 0.000 0.500
Cu2 Cu 0.500 0.000 0.000
Cu3 Cu 0.000 0.500 0.000
Be1 Be 0.500 0.500 0.500
Sr1 Sr 0.000 0.000 0.000
# Energy relative to the elements = 1.81 eV per atom
# Relative energy among the computed polymorphs = 1698 meV/atom